# PmPuTc2 | Alexandria | PBE-GGA | optimized geometry
data_PmPuTc2
_chemical_formula_sum 'Pm1 Pu1 Tc2'
_space_group_name_H-M_alt 'P 4/m m m'
_space_group_IT_number 123
_space_group_name_Hall '-P 4 2'
_cell_length_a 3.3702
_cell_length_b 3.3702
_cell_length_c 7.1717
_cell_angle_alpha 90.00
_cell_angle_beta 90.00
_cell_angle_gamma 90.00
loop_
_atom_site_label
_atom_site_fract_x
_atom_site_fract_y
_atom_site_fract_z
_atom_site_occupancy
Pm1 0.0000 0.0000 0.0000 1
Pu1 0.0000 0.0000 0.5000 1
Tc1 0.5000 0.5000 0.2935 1
# Formation energy (kJ/mol of formula units): 41
# Magnetic moment (Bohr magnetons per cell): 2.80
# Crystal system: tetragonal
# Relative energy among the computed polymorphs (eV per atom): 0.000
# Electronic total energy (eV per atom): -9.8463